First-principles (PBE) data for a relaxed structure of Nd6BiIr, as listed in Alexandria.

## Properties
As for the space group: P-1, No. 2. As for the total DFT energy (no corrections): -5.4045 eV per atom. The formation energy comes out at -236 meV/atom.

abc: 7.046 7.048 8.088
angles: 64.20 89.98 60.06
Fractional coordinates of all 8 atoms:
Nd1 0.043 0.194 0.224
Nd2 0.238 0.180 0.776
Nd3 0.418 0.538 0.224
Nd4 0.582 0.462 0.776
Nd5 0.762 0.820 0.224
Nd6 0.957 0.806 0.776
Bi1 0.500 0.000 0.500
Ir1 0.000 0.000 0.000